## i
Computed, not measured: Sb2RhW after structural relaxation at the GGA-PBE level of DFT.

Cell: 4.6076 4.6076 5.5783 Å, 77.60 77.60 40.91°
Fractional positions:
Rh 0.0000 0.0000 0.5000
Sb 0.7490 0.7490 0.2452
Sb 0.2510 0.2510 0.7548
W 0.5000 0.5000 0.0000

Results
DOS at the Fermi energy in states/eV/cell: 3.389

## ii
Computed, not measured: Sb2RhW after structural relaxation at the GGA-PBE level of DFT.

Cell: 5.1724 5.1724 4.6114 Å, 78.02 78.02 38.42°
Fractional positions:
Sb 0.7533 0.7533 0.6735
Rh 0.2649 0.2649 0.1694
W 0.4828 0.4828 0.5820
Sb 0.9990 0.9990 0.0751

Results
DOS at the Fermi energy in states/eV/cell: 3.384

## iii
Computed, not measured: Sb2RhW after structural relaxation at the GGA-PBE level of DFT.

Cell: 8.5567 8.5567 8.5567 Å, 21.74 21.74 21.74°
Fractional positions:
W 0.5000 0.5000 0.5000
Sb 0.7483 0.7483 0.7483
Rh 0.0000 0.0000 0.0000
Sb 0.2517 0.2517 0.2517

Results
DOS at the Fermi energy in states/eV/cell: 3.597

The relative energies come out as i 13.2; ii 0.0; iii 6.6, with values in kJ/mol of atoms.

## i
Computed, not measured: Sb2RhW after structural relaxation at the GGA-PBE level of DFT.

Cell: 2.9753 3.8511 7.5960 Å, 90.00 90.00 90.00°
Fractional positions:
W 0.0000 0.0000 0.5464
Sb 0.5000 0.5000 0.3272
Sb 0.0000 0.0000 0.9164
Rh 0.5000 0.5000 0.7100

Results
DOS at the Fermi energy in states/eV/cell: 2.341

## ii
Computed, not measured: Sb2RhW after structural relaxation at the GGA-PBE level of DFT.

Cell: 3.3514 3.3514 6.5076 Å, 90.00 90.00 90.00°
Fractional positions:
Sb 0.0000 0.0000 0.2474
Rh 0.5000 0.5000 0.5000
Sb 0.0000 0.0000 0.7526
W 0.5000 0.5000 0.0000

Results
DOS at the Fermi energy in states/eV/cell: 3.498

The relative energies come out as i 0.0; ii 10.3, with values in kJ/mol of atoms.

## i
Computed, not measured: Sb3RhW after structural relaxation at the GGA-PBE level of DFT.

Cell: 5.1709 5.1709 5.1709 Å, 90.00 90.00 90.00°
Fractional positions:
Rh 0.5000 0.5000 0.5000
Sb 0.5000 0.0000 0.0000
Sb 0.0000 0.0000 0.5000
Sb 0.0000 0.5000 0.0000
W 0.0000 0.0000 0.0000

Results
DOS at the Fermi energy in states/eV/cell: 4.393

## ii
Computed, not measured: Sb3RhW after structural relaxation at the GGA-PBE level of DFT.

Cell: 5.0719 5.0719 5.0719 Å, 90.00 90.00 90.00°
Each line ends with the local moment (μB).
Fractional positions:
W 0.5000 0.5000 0.5000  2.59
Sb 0.0000 0.5000 0.0000  -0.08
Sb 0.0000 0.0000 0.5000  -0.06
Rh 0.0000 0.0000 0.0000  -0.12
Sb 0.5000 0.0000 0.0000  -0.06

Results
DOS at the Fermi energy in states/eV/cell: 4.428

The relative energies come out as i 0.0; ii 12.6, with values in kJ/mol of atoms.

## i
Computed, not measured: Y2SbRh2 after structural relaxation at the GGA-PBE level of DFT.

Cell: 5.4466 5.4466 5.5151 Å, 60.41 60.41 90.00°
Fractional positions:
Sb 0.0000 0.0000 0.0000
Rh 0.3385 0.3385 0.3230
Rh 0.6615 0.6615 0.6770
Y 0.7500 0.2500 0.5000
Y 0.2500 0.7500 0.5000

Results
DOS at the Fermi energy in states/eV/cell: 4.409

## ii
Computed, not measured: Y2SbRh2 after structural relaxation at the GGA-PBE level of DFT.

Cell: 4.4257 5.5451 5.5451 Å, 63.42 66.48 66.48°
Fractional positions:
Y 0.7973 0.7027 0.7027
Sb 0.0000 0.0000 0.0000
Rh 0.5000 0.2709 0.7291
Y 0.2027 0.2973 0.2973
Rh 0.5000 0.7291 0.2709

Results
DOS at the Fermi energy in states/eV/cell: 2.373

## iii
Computed, not measured: Y2SbRh2 after structural relaxation at the GGA-PBE level of DFT.

Cell: 7.4488 7.4488 3.8491 Å, 90.00 90.00 90.00°
Fractional positions:
Y 0.8287 0.3287 0.5000
Rh 0.1338 0.3662 0.0000
Sb 0.5000 0.5000 0.0000
Rh 0.8662 0.6338 0.0000
Y 0.6713 0.8287 0.5000
Sb 0.0000 0.0000 0.0000
Y 0.3287 0.1713 0.5000
Rh 0.3662 0.8662 0.0000
Rh 0.6338 0.1338 0.0000
Y 0.1713 0.6713 0.5000

Results
DOS at the Fermi energy in states/eV/cell: 5.389

The relative energies come out as i 28.6; ii 0.0; iii 7.8, with values in kJ/mol of atoms.